TlIrSe: optimized geometry, PBE-GGA.

Cell lengths 4.533, 4.533, 4.533 Å; angles 60.00, 60.00, 60.00 degrees
Sites, in units of the cell vectors:
Tl 0.000 0.000 0.000
Ir 0.750 0.750 0.750
Se 0.500 0.500 0.500

Output
The excess energy over the best structure of this formula in the dataset is 145.4 meV per atom. Its space group is F-43m. The calculation puts the formation energy without anion corrections at 334 meV per atom. Its crystal system is cubic.